First-principles (GGA-PBE) data for Na2NbIr after structural relaxation, as listed in Alexandria via LeMat-Bulk. Values from VASP.

Calculated values
V, Å³/atom: 18.82
ΔH_f (0 K), meV per atom: 1225.0
E above lowest polymorph, meV/atom: 202
N(E_F), states/eV/cell: 19.60

Quantum ESPRESSO input file:
```
&SYSTEM
  ibrav = 0, nat = 16, ntyp = 3
/
ATOMIC_SPECIES
Na 22.99 Na.upf
Nb 92.91 Nb.upf
Ir 192.22 Ir.upf
CELL_PARAMETERS angstrom
6.702 0.000 0.000
0.000 6.702 0.000
0.000 0.000 6.702
ATOMIC_POSITIONS crystal
Na 0.250 0.250 0.250
Na 0.250 0.250 0.750
Na 0.250 0.750 0.250
Na 0.250 0.750 0.750
Na 0.750 0.250 0.250
Na 0.750 0.250 0.750
Na 0.750 0.750 0.250
Na 0.750 0.750 0.750
Nb 0.000 0.000 0.000
Nb 0.000 0.500 0.500
Nb 0.500 0.000 0.500
Nb 0.500 0.500 0.000
Ir 0.000 0.000 0.500
Ir 0.000 0.500 0.000
Ir 0.500 0.000 0.000
Ir 0.500 0.500 0.500
```